A relaxed structure of Li2ScAuO, computed with PBE-GGA.

Values from the calculation:
Volume   14.4 A^3/atom
Total magnetization   0.000 μB per atom
Energy relative to the elements, uncorrected   -1418 meV per atom

Unit cell a=4.161 b=4.161 c=4.154 alpha=90.00 beta=90.00 gamma=90.00
Sites, in units of the cell vectors:
1 Li 0.000 0.500 0.000
2 Li 0.500 0.000 0.000
3 Sc 0.000 0.000 0.500
4 Au 0.500 0.500 0.500
5 O 0.000 0.000 0.000